LiEr2ThSe4 | PBE-GGA | optimized geometry

* total DFT energy (no corrections): -5.68 eV per atom
* magnetic moment: 0.0 μB/cell
* formation energy (no corrections): -1630 meV/atom

Structure (POSCAR):
```
LiEr2ThSe4
1.0
-3.0318 -0.2354 -2.6490
-3.3065 -4.7097 4.2029
-2.0740 6.4648 1.7991
Se Th Er Li
4 1 2 1
Cartesian
-2.9767 -1.8692 3.5730 Se
-2.4038 3.6243 2.4290 Se
-2.9283 0.2754 0.2571 Se
-5.4840 1.2443 3.0960 Se
0.0000 0.0000 0.0000 Th
-2.6903 0.8776 3.0010 Er
-2.5529 3.1147 -0.4249 Er
-3.1691 -2.4725 0.7770 Li
```